No. 1
The following is a DFT calculation (PBE-GGA) of an optimized crystal structure of La3SmDy2Ho6.

The structure belongs to space group C2/m (No. 12); the cell edges are 6.2318, 10.7948 and 11.8338 Å and the angles 90.00°, 100.09° and 90.00°. The asymmetric unit holds La at (0.0000, 0.0000, 0.0000), La at (0.0000, 0.3332, 0.0000), Sm at (0.0000, 0.5000, 0.5000), Dy at (0.0000, 0.1667, 0.5000), Ho at (0.2478, 0.0000, 0.7451) and Ho at (0.2484, 0.3331, 0.7450).

The final energy is -4.661 eV per atom. The crystal system is monoclinic. The calculation puts the formation energy at 20.4 meV/atom.

---

No. 2
The following is a DFT calculation (PBE-GGA) of an optimized crystal structure of LaSmDyHo.

The structure belongs to space group F-43m (No. 216); the cell edges are 8.1381, 8.1381 and 8.1381 Å and the angles 90.00°, 90.00° and 90.00°. The asymmetric unit holds La at (0.0000, 0.0000, 0.0000), Sm at (0.0000, 0.0000, 0.5000), Dy at (0.2500, 0.2500, 0.2500) and Ho at (0.2500, 0.2500, 0.7500).

The offset from the most stable computed form is 0.000 eV per atom. The final energy is -4.597 eV per atom. The crystal system is cubic. The calculation puts the formation energy at 109.2 meV/atom.

---

No. 3
The following is a DFT calculation (PBE-GGA) of an optimized crystal structure of La2Sm6Dy3Ho.

The structure belongs to space group C2/m (No. 12); the cell edges are 6.2716, 10.8646 and 12.0053 Å and the angles 90.00°, 100.06° and 90.00°. The asymmetric unit holds La at (0.0000, 0.1665, 0.0000), Sm at (0.2469, 0.5000, 0.7455), Sm at (0.2492, 0.1659, 0.7458), Dy at (0.0000, 0.0000, 0.5000), Dy at (0.0000, 0.3337, 0.5000) and Ho at (0.0000, 0.5000, 0.0000).

The final energy is -4.693 eV per atom. The crystal system is monoclinic. The calculation puts the formation energy at 20.1 meV/atom.

---

No. 4
The following is a DFT calculation (PBE-GGA) of an optimized crystal structure of La2SmDy6Ho3.

The structure belongs to space group C2/m (No. 12); the cell edges are 6.2071, 10.7500 and 11.8503 Å and the angles 90.00°, 100.05° and 90.00°. The asymmetric unit holds La at (0.0000, 0.1665, 0.0000), Sm at (0.0000, 0.5000, 0.0000), Dy at (0.2467, 0.5000, 0.7446), Dy at (0.2479, 0.1663, 0.7447), Ho at (0.0000, 0.0000, 0.5000) and Ho at (0.0000, 0.3335, 0.5000).

The final energy is -4.638 eV per atom. The crystal system is monoclinic. The calculation puts the formation energy at 22.0 meV/atom.

---

No. 5
The following is a DFT calculation (PBE-GGA) of an optimized crystal structure of LaSm2DyHo4.

The structure belongs to space group P2/m (No. 10); the cell edges are 7.1802, 10.0424 and 7.1963 Å and the angles 90.00°, 90.14° and 90.00°. The asymmetric unit holds La at (0.0000, 0.0000, 0.0000), La at (0.0000, 0.0000, 0.5000), Sm at (0.0000, 0.5000, 0.0000), Sm at (0.5000, 0.0000, 0.0000), Sm at (0.5000, 0.5000, 0.0000), Sm at (0.5000, 0.5000, 0.5000), Dy at (0.0000, 0.5000, 0.5000), Dy at (0.5000, 0.0000, 0.5000), Ho at (0.2520, 0.2520, 0.2514) and Ho at (0.2517, 0.2522, 0.7489).

The final energy is -4.642 eV per atom. The crystal system is monoclinic. The calculation puts the formation energy at 18.3 meV/atom.

---

No. 6
The following is a DFT calculation (PBE-GGA) of an optimized crystal structure of LaSmDyHo3.

The structure belongs to space group C2/m (No. 12); the cell edges are 19.8121, 5.6365 and 7.0897 Å and the angles 90.00°, 90.54° and 90.00°. The asymmetric unit holds La at (0.1450, 0.0000, 0.0325), Sm at (0.0533, 0.5000, 0.2684), Dy at (0.1500, 0.0000, 0.4585), Ho at (0.0235, 0.0000, 0.7356), Ho at (0.1642, 0.5000, 0.7295) and Ho at (0.2209, 0.5000, 0.2431).

The final energy is -4.465 eV per atom. The crystal system is monoclinic. The calculation puts the formation energy at 198.5 meV/atom.